Record 1
Material: Nd6GaHg5
Method: DFT, PBE
State: relaxed

## Properties
ΔE_f = -481 meV/atom
Magnetization = 2.5 μB/f.u.
Total energy = -3.2433 eV per atom

Lattice parameters (Å, degrees): 17.036 7.671 5.382 90.00 108.27 90.00
Space group C2/m (No. 12)
One atom of each set of equivalent atoms:
Nd 0.000 0.241 0.000 [4 per cell]
Nd 0.163 0.245 0.663 [8 per cell]
Ga 0.000 0.000 0.500 [2 per cell]
Hg 0.000 0.500 0.500 [2 per cell]
Hg 0.166 0.500 0.167 [4 per cell]
Hg 0.171 0.000 0.171 [4 per cell]

Record 2
Material: Pm6TlHg8
Method: DFT, PBE
State: relaxed

## Properties
ΔE_f = -330 meV/atom
Magnetization = 0.0 μB/f.u.
Total energy = -2.5487 eV per atom

Lattice parameters (Å, degrees): 8.9892 8.9892 19.0811 90.00 90.00 120.00
Space group R-3 (No. 148, hexagonal axes)
One atom of each set of equivalent atoms:
Pm 0.0121 0.7256 0.1001 [18 per cell]
Tl 0.0000 0.0000 0.5000 [3 per cell]
Hg 0.0000 0.0000 0.2017 [6 per cell]
Hg 0.0067 0.6250 0.9425 [18 per cell]

Record 3
Material: MnBiSe2
Method: DFT, PBE
State: relaxed

## Properties
Magnetization = 0.1 μB/f.u.
Energy relative to the elements, uncorrected = 0.60 eV/atom
Total energy = -4.4011 eV per atom

Lattice parameters (Å, degrees): 4.888 4.888 3.466 90.00 90.00 90.00
Space group P4/mmm (No. 123)
One atom of each set of equivalent atoms:
Mn 0.000 0.000 0.000 [1 per cell]
Bi 0.500 0.500 0.000 [1 per cell]
Se 0.000 0.500 0.500 [2 per cell]

Record 4
Material: PrDy8Y3
Method: DFT, PBE
State: relaxed

## Properties
ΔE_f = 313 meV/atom
Magnetization = 0.0 μB/f.u.
Total energy = -4.7693 eV per atom

Lattice parameters (Å, degrees): 6.431 11.359 11.373 90.00 90.00 90.00
Space group Immm (No. 71)
One atom of each set of equivalent atoms:
Pr 0.000 0.000 0.000 [2 per cell]
Dy 0.000 0.169 0.251 [8 per cell]
Dy 0.247 0.256 0.000 [8 per cell]
Y 0.000 0.000 0.500 [2 per cell]
Y 0.000 0.500 0.244 [4 per cell]

Record 5
Material: Y2Ga4AgPd3
Method: DFT, PBE
State: relaxed

## Properties
ΔE_f = -686 meV/atom
Magnetization = 0.0 μB/f.u.
Total energy = -5.0326 eV per atom

Lattice parameters (Å, degrees): 4.163 4.163 10.998 90.00 90.00 90.00
Space group P-4m2 (No. 115)
One atom of each set of equivalent atoms:
Y 0.000 0.500 0.239 [2 per cell]
Ga 0.000 0.000 0.000 [1 per cell]
Ga 0.000 0.500 0.641 [2 per cell]
Ga 0.500 0.500 0.000 [1 per cell]
Ag 0.000 0.000 0.500 [1 per cell]
Pd 0.000 0.500 0.865 [2 per cell]
Pd 0.500 0.500 0.500 [1 per cell]

Record 6
Material: Nd8Rh3Br4N
Method: DFT, PBE
State: relaxed

## Properties
Magnetization = 0.5 μB/f.u.
Energy relative to the elements, uncorrected = -1.08 eV/atom
Total energy = -5.7798 eV per atom

Lattice parameters (Å, degrees): 13.979 8.066 9.085 90.00 120.94 90.00
Space group C2/m (No. 12)
One atom of each set of equivalent atoms:
Nd 0.014 0.232 0.312 [8 per cell]
Nd 0.218 0.000 0.688 [4 per cell]
Nd 0.233 0.500 0.700 [4 per cell]
Rh 0.000 0.500 0.500 [2 per cell]
Rh 0.250 0.250 0.500 [4 per cell]
Br 0.000 0.000 0.000 [2 per cell]
Br 0.000 0.500 0.000 [2 per cell]
Br 0.250 0.250 0.000 [4 per cell]
N 0.000 0.000 0.500 [2 per cell]

Record 7
Material: BeAuCl2
Method: DFT, PBE
State: relaxed

## Properties
Magnetization = 0.0 μB/f.u.
ΔE to the lowest computed polymorph = 0.6258 eV/atom
Energy relative to the elements, uncorrected = -0.01 eV/atom
Total energy = -2.6840 eV per atom

Lattice parameters (Å, degrees): 2.878 2.878 9.163 90.00 90.00 90.00
Space group P4mm (No. 99)
One atom of each set of equivalent atoms:
Be 0.000 0.000 0.000 [1 per cell]
Au 0.500 0.500 0.819 [1 per cell]
Cl 0.000 0.000 0.513 [1 per cell]
Cl 0.500 0.500 0.142 [1 per cell]

Record 8
Material: HfCrReBr2
Method: DFT, PBE
State: relaxed

## Properties
Magnetization = 2.2 μB/f.u.
Energy relative to the elements, uncorrected = 1.40 eV/atom
Total energy = -5.6775 eV per atom

Lattice parameters (Å, degrees): 4.970 4.970 4.762 90.00 90.00 90.00
Space group P4/mmm (No. 123)
One atom of each set of equivalent atoms:
Hf 0.000 0.000 0.000 [1 per cell]
Cr 0.500 0.500 0.000 [1 per cell]
Re 0.500 0.500 0.500 [1 per cell]
Br 0.000 0.500 0.500 [2 per cell]